First-principles (GGA-PBE) data for a relaxed structure of Ce2Co4NiP3, as listed in Alexandria via LeMat-Bulk.

Cell: 3.906 3.906 9.376 Å, 90.00 90.00 90.00°
Fractional positions:
1 Ce 0.000 0.500 0.248
2 Ce 0.500 0.000 0.752
3 Co 0.000 0.000 0.500
4 Co 0.000 0.500 0.870
5 Co 0.500 0.000 0.130
6 Co 0.500 0.500 0.500
7 Ni 0.500 0.500 0.000
8 P 0.000 0.000 0.000
9 P 0.000 0.500 0.630
10 P 0.500 0.000 0.370

Output
symmetry = No. 115
final energy = -70.8 eV per cell
crystal system = tetragonal
magnetization = 1.6 μB per cell

***

First-principles (GGA-PBE) data for a relaxed structure of Ce2CoNi4P3, as listed in Alexandria via LeMat-Bulk.

Cell: 3.942 3.942 9.417 Å, 90.00 90.00 90.00°
Fractional positions:
1 Ce 0.000 0.500 0.248
2 Ce 0.500 0.000 0.752
3 Co 0.500 0.500 0.000
4 Ni 0.000 0.000 0.500
5 Ni 0.000 0.500 0.867
6 Ni 0.500 0.000 0.133
7 Ni 0.500 0.500 0.500
8 P 0.000 0.000 0.000
9 P 0.000 0.500 0.629
10 P 0.500 0.000 0.371

Output
symmetry = No. 115
final energy = -66.8 eV per cell
crystal system = tetragonal
magnetization = 1.2 μB per cell

***

First-principles (GGA-PBE) data for a relaxed structure of CePmCoNi, as listed in Alexandria via LeMat-Bulk.

Cell: 4.833 4.833 4.833 Å, 60.00 60.00 60.00°
Fractional positions:
1 Ce 0.000 0.000 0.000
2 Pm 0.500 0.500 0.500
3 Co 0.750 0.750 0.750
4 Ni 0.250 0.250 0.250

Output
symmetry = No. 216
final energy = -24.1 eV per cell
crystal system = cubic
magnetization = 0.2 μB per cell

***

First-principles (GGA-PBE) data for a relaxed structure of CePuCoNi, as listed in Alexandria via LeMat-Bulk.

Cell: 4.518 4.518 4.518 Å, 60.00 60.00 60.00°
Fractional positions:
1 Ce 0.000 0.000 0.000
2 Pu 0.750 0.750 0.750
3 Co 0.250 0.250 0.250
4 Ni 0.500 0.500 0.500

Output
symmetry = No. 216
final energy = -33.9 eV per cell
crystal system = cubic
magnetization = 4.1 μB per cell

***

First-principles (GGA-PBE) data for a relaxed structure of CeScCoNi, as listed in Alexandria via LeMat-Bulk.

Cell: 4.638 4.638 4.638 Å, 60.00 60.00 60.00°
Fractional positions:
1 Ce 0.000 0.000 0.000
2 Sc 0.500 0.500 0.500
3 Co 0.250 0.250 0.250
4 Ni 0.750 0.750 0.750

Output
symmetry = No. 216
final energy = -26.2 eV per cell
crystal system = cubic
magnetization = 0.0 μB per cell

***

First-principles (GGA-PBE) data for a relaxed structure of Ce2Co3SiNi12, as listed in Alexandria via LeMat-Bulk.

Cell: 8.849 8.849 8.849 Å, 39.77 39.77 39.77°
Fractional positions:
1 Ce 0.157 0.157 0.157
2 Ce 0.843 0.843 0.843
3 Co 0.000 0.500 0.500
4 Co 0.500 0.000 0.500
5 Co 0.500 0.500 0.000
6 Si 0.500 0.500 0.500
7 Ni 0.081 0.081 0.689
8 Ni 0.081 0.689 0.081
9 Ni 0.148 0.573 0.573
10 Ni 0.311 0.919 0.919
11 Ni 0.427 0.427 0.852
12 Ni 0.427 0.852 0.427
13 Ni 0.573 0.148 0.573
14 Ni 0.573 0.573 0.148
15 Ni 0.689 0.081 0.081
16 Ni 0.852 0.427 0.427
17 Ni 0.919 0.311 0.919
18 Ni 0.919 0.919 0.311

Output
symmetry = No. 166
crystal system = trigonal
energy relative to the elements, uncorrected = 0.142 eV/atom
magnetization = 8.3 μB per cell

***

First-principles (GGA-PBE) data for a relaxed structure of Ce2CoSi4Ni3, as listed in Alexandria via LeMat-Bulk.

Cell: 4.004 4.004 9.539 Å, 90.00 90.00 90.00°
Fractional positions:
1 Ce 0.000 0.500 0.248
2 Ce 0.500 0.000 0.752
3 Co 0.500 0.500 0.000
4 Si 0.000 0.000 0.500
5 Si 0.000 0.500 0.872
6 Si 0.500 0.000 0.128
7 Si 0.500 0.500 0.500
8 Ni 0.000 0.000 0.000
9 Ni 0.000 0.500 0.624
10 Ni 0.500 0.000 0.376

Output
symmetry = No. 115
crystal system = tetragonal
energy relative to the elements, uncorrected = -0.803 eV/atom
magnetization = 0.9 μB per cell

***

First-principles (GGA-PBE) data for a relaxed structure of Ce2CoSi3Ni12, as listed in Alexandria via LeMat-Bulk.

Cell: 6.251 6.251 6.251 Å, 83.46 83.46 83.46°
Fractional positions:
1 Ce 0.154 0.154 0.154
2 Ce 0.846 0.846 0.846
3 Co 0.500 0.500 0.500
4 Si 0.000 0.500 0.500
5 Si 0.500 0.000 0.500
6 Si 0.500 0.500 0.000
7 Ni 0.117 0.117 0.592
8 Ni 0.117 0.592 0.117
9 Ni 0.199 0.692 0.692
10 Ni 0.308 0.308 0.801
11 Ni 0.308 0.801 0.308
12 Ni 0.408 0.883 0.883
13 Ni 0.592 0.117 0.117
14 Ni 0.692 0.199 0.692
15 Ni 0.692 0.692 0.199
16 Ni 0.801 0.308 0.308
17 Ni 0.883 0.408 0.883
18 Ni 0.883 0.883 0.408

Output
symmetry = No. 166
crystal system = trigonal
energy relative to the elements, uncorrected = -0.132 eV/atom
magnetization = 2.5 μB per cell

***

First-principles (GGA-PBE) data for a relaxed structure of CeThCoNi, as listed in Alexandria via LeMat-Bulk.

Cell: 4.851 4.851 4.851 Å, 60.00 60.00 60.00°
Fractional positions:
1 Ce 0.000 0.000 0.000
2 Th 0.500 0.500 0.500
3 Co 0.750 0.750 0.750
4 Ni 0.250 0.250 0.250

Output
symmetry = No. 216
final energy = -26.9 eV per cell
crystal system = cubic
magnetization = 0.1 μB per cell

***

First-principles (GGA-PBE) data for a relaxed structure of CeThCoNi, as listed in Alexandria via LeMat-Bulk.

Cell: 4.080 5.768 5.768 Å, 37.33 90.00 90.00°
Fractional positions:
1 Ce 0.000 0.000 0.000
2 Th 0.500 0.269 0.269
3 Co 0.500 0.536 0.536
4 Ni 0.000 0.712 0.712

Output
symmetry = No. 38
final energy = -27.6 eV per cell
crystal system = orthorhombic
magnetization = 0.0 μB per cell

***

First-principles (GGA-PBE) data for a relaxed structure of CeZnCoNi, as listed in Alexandria via LeMat-Bulk.

Cell: 4.481 4.481 4.481 Å, 60.00 60.00 60.00°
Fractional positions:
1 Ce 0.000 0.000 0.000
2 Zn 0.500 0.500 0.500
3 Co 0.750 0.750 0.750
4 Ni 0.250 0.250 0.250

Output
symmetry = No. 216
final energy = -20.7 eV per cell
crystal system = cubic
magnetization = 0.0 μB per cell

***

First-principles (GGA-PBE) data for a relaxed structure of Ce2ZnCo2Ni5, as listed in Alexandria via LeMat-Bulk.

Cell: 8.568 8.568 3.882 Å, 90.00 90.00 90.00°
Fractional positions:
1 Ce 0.179 0.321 0.000
2 Ce 0.321 0.821 0.000
3 Ce 0.679 0.179 0.000
4 Ce 0.821 0.679 0.000
5 Zn 0.000 0.000 0.000
6 Zn 0.500 0.500 0.000
7 Co 0.129 0.629 0.000
8 Co 0.371 0.129 0.000
9 Co 0.629 0.871 0.000
10 Co 0.871 0.371 0.000
11 Ni 0.000 0.500 0.500
12 Ni 0.062 0.797 0.500
13 Ni 0.203 0.062 0.500
14 Ni 0.297 0.562 0.500
15 Ni 0.438 0.297 0.500
16 Ni 0.500 0.000 0.500
17 Ni 0.562 0.703 0.500
18 Ni 0.703 0.438 0.500
19 Ni 0.797 0.938 0.500
20 Ni 0.938 0.203 0.500

Output
symmetry = No. 127
final energy = -118.0 eV per cell
crystal system = tetragonal
magnetization = 0.0 μB per cell

***

First-principles (GGA-PBE) data for a relaxed structure of CeZrCoNi, as listed in Alexandria via LeMat-Bulk.

Cell: 4.655 4.655 4.655 Å, 60.00 60.00 60.00°
Fractional positions:
1 Ce 0.000 0.000 0.000
2 Zr 0.500 0.500 0.500
3 Co 0.750 0.750 0.750
4 Ni 0.250 0.250 0.250

Output
symmetry = No. 216
final energy = -28.0 eV per cell
crystal system = cubic
magnetization = 0.0 μB per cell

***

First-principles (GGA-PBE) data for a relaxed structure of Ce2NpCo9, as listed in Alexandria via LeMat-Bulk.

Cell: 8.744 8.744 8.744 Å, 32.33 32.33 32.33°
Fractional positions:
1 Ce 0.139 0.139 0.139
2 Ce 0.861 0.861 0.861
3 Np 0.000 0.000 0.000
4 Co 0.081 0.579 0.579
5 Co 0.333 0.333 0.333
6 Co 0.421 0.421 0.919
7 Co 0.421 0.919 0.421
8 Co 0.500 0.500 0.500
9 Co 0.579 0.081 0.579
10 Co 0.579 0.579 0.081
11 Co 0.667 0.667 0.667
12 Co 0.919 0.421 0.421

Output
symmetry = No. 166
final energy = -90.2 eV per cell
crystal system = trigonal
magnetization = 3.4 μB per cell

***

First-principles (GGA-PBE) data for a relaxed structure of Ce2NpCo, as listed in Alexandria via LeMat-Bulk.

Cell: 6.031 6.031 6.031 Å, 39.42 39.42 39.42°
Fractional positions:
1 Ce 0.245 0.245 0.245
2 Ce 0.755 0.755 0.755
3 Np 0.000 0.000 0.000
4 Co 0.500 0.500 0.500

Output
symmetry = No. 166
final energy = -30.6 eV per cell
crystal system = trigonal
magnetization = 2.2 μB per cell

***

First-principles (GGA-PBE) data for a relaxed structure of CeNpCo2, as listed in Alexandria via LeMat-Bulk.

Cell: 5.485 5.485 5.485 Å, 45.12 45.12 45.12°
Fractional positions:
1 Ce 0.000 0.000 0.000
2 Np 0.500 0.500 0.500
3 Co 0.212 0.212 0.212
4 Co 0.788 0.788 0.788

Output
symmetry = No. 166
final energy = -33.3 eV per cell
crystal system = trigonal
magnetization = 2.9 μB per cell

***

First-principles (GGA-PBE) data for a relaxed structure of CeNpCo4, as listed in Alexandria via LeMat-Bulk.

Cell: 4.961 4.961 4.961 Å, 60.00 60.00 60.00°
Fractional positions:
1 Ce 0.000 0.000 0.000
2 Np 0.250 0.250 0.250
3 Co 0.128 0.624 0.624
4 Co 0.624 0.128 0.624
5 Co 0.624 0.624 0.128
6 Co 0.624 0.624 0.624

Output
symmetry = No. 216
final energy = -48.2 eV per cell
crystal system = cubic
magnetization = 2.1 μB per cell